# 1
The following is a DFT calculation (PBEsol) of an optimized crystal structure of TaGaO4.

## Properties
formation energy from raw total energies: -2428 meV/atom
SG: Pna2_1 (33)

Lattice parameters (Å, degrees): 4.959 5.569 9.274 90.00 90.00 90.00
Fractional coordinates of all 24 atoms:
1 Ta 0.262 0.418 0.373
2 Ga 0.745 0.066 0.379
3 O 0.918 0.860 0.513
4 O 0.076 0.623 0.237
5 O 0.077 0.648 0.741
6 Ga 0.745 0.566 0.121
7 O 0.918 0.360 0.987
8 Ta 0.262 0.918 0.127
9 O 0.922 0.362 0.491
10 O 0.077 0.148 0.759
11 O 0.418 0.640 0.013
12 O 0.422 0.638 0.509
13 O 0.577 0.352 0.259
14 O 0.577 0.852 0.241
15 O 0.076 0.123 0.263
16 O 0.422 0.138 0.991
17 Ta 0.762 0.082 0.873
18 Ga 0.245 0.934 0.621
19 Ta 0.762 0.582 0.627
20 O 0.576 0.377 0.763
21 O 0.576 0.877 0.737
22 O 0.418 0.140 0.487
23 O 0.922 0.862 0.009
24 Ga 0.245 0.434 0.879


# 2
The following is a DFT calculation (PBEsol) of an optimized crystal structure of MgNiRu2.

## Properties
energy relative to the elements: 1.45 eV per formula unit
SG: Cmm2 (35)

Lattice parameters (Å, degrees): 2.646 2.646 8.607 90.00 90.00 115.38
Last column: magnetic moment on the atom in μB.
Fractional coordinates of all 4 atoms:
1 Ni 0.500 0.500 0.245  0.16
2 Ru 0.500 0.500 0.757  0.43
3 Ru 0.000 0.000 0.007  0.49
4 Mg 0.000 0.000 0.490  0.00